Entry 1:
First-principles (PBE-GGA) data for an optimized crystal structure of TbSm2Si2Pt7, as listed in Alexandria.

Computed properties:
* total energy: -80.6 eV/cell
* energy relative to the elements, uncorrected: -13.37 eV per formula unit
* space group: C2/m
* DOS at the Fermi energy: 0.458 states/eV/atom

Lattice parameters (Å, degrees): 4.076 4.076 13.845 84.25 84.25 89.48
Element x y z (fractional)
Sm: 0.109 0.109 0.644
Sm: 0.891 0.891 0.356
Si: 0.413 0.413 0.254
Si: 0.587 0.587 0.746
Pt: 0.055 0.555 0.840
Pt: 0.555 0.055 0.840
Pt: 0.945 0.445 0.160
Pt: 0.445 0.945 0.160
Pt: 0.623 0.623 0.575
Pt: 0.500 0.500 0.000
Pt: 0.377 0.377 0.425
Tb: 0.000 0.000 0.000



Entry 2:
First-principles (PBE-GGA) data for an optimized crystal structure of Ag3Os, as listed in Alexandria.

Computed properties:
* total energy: -17.7 eV/cell
* space group: P4/mmm
* energy relative to the elements: 523 meV per atom
* DOS at the Fermi energy: 0.726 states/eV/atom

Lattice parameters (Å, degrees): 2.740 2.740 8.916 90.00 90.00 90.00
Last column: magnetic moment on the atom in μB.
Element x y z (fractional)
Os: 0.500 0.500 0.750  0.56
Ag: 0.000 0.000 0.995  0.01
Ag: 0.500 0.500 0.250  0.00
Ag: 0.000 0.000 0.505  0.01



Number 1: total moment 0.000 μB/cell. Number 2: total moment 0.627 μB/cell.